A relaxed RbUO3 crystal, computed with PBE.

```
RbUO3
1.0
4.360 0.000 0.000
0.000 4.360 0.000
0.000 0.000 4.360
Rb U O
1 1 3
direct
0.000 0.000 0.000 Rb
0.500 0.500 0.500 U
0.000 0.500 0.500 O
0.500 0.000 0.500 O
0.500 0.500 0.000 O
```

space-group type	Pm-3m
ΔE_f (raw)	-2.879	eV per atom
calculated density	7.44	g/cm3
total energy	-8.305	eV per atom